(1)
Material: PH20AuC26S2N2
Method: DFT, PBE
State: relaxed

Lattice parameters (Å, degrees): 9.045 9.045 21.855 109.79 109.79 47.46
Fractional coordinates of all 104 atoms:
H: 0.906 0.413 0.903
H: 0.112 0.719 0.847
H: 0.697 0.171 0.530
H: 0.959 0.929 0.441
H: 0.094 0.587 0.097
H: 0.989 0.465 0.214
H: 0.719 0.112 0.347
H: 0.587 0.094 0.597
H: 0.888 0.281 0.153
H: 0.180 0.079 0.306
H: 0.281 0.888 0.653
H: 0.548 0.113 0.141
H: 0.303 0.829 0.470
H: 0.071 0.041 0.059
H: 0.771 0.799 0.374
H: 0.171 0.697 0.030
H: 0.123 0.590 0.319
H: 0.464 0.488 0.334
H: 0.452 0.887 0.859
H: 0.079 0.180 0.806
H: 0.488 0.464 0.834
H: 0.929 0.959 0.941
H: 0.921 0.820 0.194
H: 0.877 0.410 0.681
H: 0.799 0.771 0.874
H: 0.820 0.921 0.694
H: 0.229 0.201 0.626
H: 0.113 0.548 0.641
H: 0.536 0.512 0.666
H: 0.535 0.011 0.286
H: 0.887 0.452 0.359
H: 0.011 0.535 0.786
H: 0.410 0.877 0.181
H: 0.413 0.906 0.403
H: 0.512 0.536 0.166
H: 0.590 0.123 0.819
H: 0.041 0.071 0.559
H: 0.829 0.303 0.970
H: 0.465 0.989 0.714
H: 0.201 0.229 0.126
C: 0.953 0.870 0.164
C: 0.037 0.994 0.088
C: 0.515 0.783 0.220
C: 0.994 0.037 0.588
C: 0.471 0.710 0.761
C: 0.485 0.217 0.780
C: 0.784 0.544 0.319
C: 0.128 0.935 0.642
C: 0.200 0.906 0.428
C: 0.935 0.128 0.142
C: 0.721 0.738 0.328
C: 0.094 0.800 0.072
C: 0.279 0.262 0.672
C: 0.339 0.370 0.946
C: 0.544 0.784 0.819
C: 0.738 0.051 0.610
C: 0.783 0.515 0.720
C: 0.738 0.721 0.828
C: 0.872 0.065 0.358
C: 0.143 0.413 0.222
C: 0.409 0.427 0.289
C: 0.934 0.107 0.321
C: 0.047 0.130 0.836
C: 0.262 0.279 0.172
C: 0.870 0.953 0.664
C: 0.413 0.143 0.722
C: 0.893 0.066 0.179
C: 0.006 0.963 0.412
C: 0.800 0.094 0.572
C: 0.906 0.200 0.928
C: 0.710 0.471 0.261
C: 0.427 0.409 0.789
C: 0.216 0.456 0.681
C: 0.065 0.872 0.858
C: 0.051 0.738 0.110
C: 0.963 0.006 0.912
C: 0.456 0.216 0.181
C: 0.107 0.934 0.821
C: 0.290 0.529 0.739
C: 0.949 0.262 0.890
C: 0.857 0.587 0.778
C: 0.217 0.485 0.280
C: 0.630 0.661 0.554
C: 0.262 0.949 0.390
C: 0.130 0.047 0.336
C: 0.370 0.339 0.446
C: 0.591 0.573 0.711
C: 0.587 0.857 0.278
C: 0.661 0.630 0.054
C: 0.529 0.290 0.239
C: 0.066 0.893 0.679
C: 0.573 0.591 0.211
P: 0.769 0.231 0.250
P: 0.231 0.769 0.750
Au: 0.000 0.500 0.500
Au: 0.500 0.000 0.000
N: 0.802 0.520 0.090
N: 0.480 0.198 0.410
N: 0.198 0.480 0.910
N: 0.520 0.802 0.590
S: 0.775 0.458 0.500
S: 0.542 0.225 0.000
S: 0.225 0.542 0.500
S: 0.458 0.775 0.000

---

(2)
Material: H6AuC8S8N2
Method: DFT, PBE
State: relaxed

Lattice parameters (Å, degrees): 13.934 3.768 14.581 90.00 103.93 90.00
Fractional coordinates of all 50 atoms:
N: 0.705 0.398 0.290
N: 0.705 0.102 0.790
N: 0.295 0.898 0.210
N: 0.295 0.602 0.710
H: 0.425 0.891 0.728
H: 0.656 0.090 0.388
H: 0.344 0.910 0.612
H: 0.575 0.109 0.272
H: 0.583 0.024 0.851
H: 0.425 0.609 0.228
H: 0.417 0.524 0.649
H: 0.417 0.976 0.149
H: 0.656 0.410 0.888
H: 0.344 0.590 0.112
H: 0.575 0.391 0.772
H: 0.583 0.476 0.351
C: 0.375 0.761 0.172
C: 0.625 0.239 0.828
C: 0.307 0.974 0.305
C: 0.866 0.569 0.294
C: 0.800 0.048 0.845
C: 0.375 0.739 0.672
C: 0.134 0.069 0.206
C: 0.307 0.526 0.805
C: 0.693 0.026 0.695
C: 0.866 0.931 0.794
C: 0.200 0.952 0.155
C: 0.134 0.431 0.706
C: 0.200 0.548 0.655
C: 0.625 0.261 0.328
C: 0.800 0.452 0.345
C: 0.693 0.474 0.195
S: 0.172 0.613 0.535
S: 0.010 0.133 0.161
S: 0.990 0.867 0.839
S: 0.194 0.116 0.324
S: 0.194 0.384 0.824
S: 0.590 0.444 0.110
S: 0.806 0.616 0.176
S: 0.410 0.556 0.890
S: 0.590 0.056 0.610
S: 0.828 0.387 0.465
S: 0.806 0.884 0.676
S: 0.410 0.944 0.390
S: 0.828 0.113 0.965
S: 0.010 0.367 0.661
S: 0.990 0.633 0.339
S: 0.172 0.887 0.035
Au: 0.000 0.000 0.000
Au: 0.000 0.500 0.500

---

(3)
Material: SnH6Au2C6N4
Method: DFT, PBE
State: relaxed

Lattice parameters (Å, degrees): 6.521 10.668 10.668 61.80 107.44 107.44
Fractional coordinates of all 38 atoms:
N: 0.346 0.565 0.121
N: 0.572 0.048 0.281
N: 0.154 0.879 0.435
N: 0.846 0.121 0.565
N: 0.654 0.435 0.879
N: 0.928 0.719 0.952
N: 0.428 0.952 0.719
N: 0.072 0.281 0.048
C: 0.005 0.820 0.376
C: 0.619 0.805 0.593
C: 0.119 0.593 0.805
C: 0.454 0.970 0.824
C: 0.954 0.824 0.970
C: 0.505 0.376 0.820
C: 0.881 0.407 0.195
C: 0.046 0.176 0.030
C: 0.995 0.180 0.624
C: 0.381 0.195 0.407
C: 0.546 0.030 0.176
C: 0.495 0.624 0.180
H: 0.749 0.461 0.176
H: 0.820 0.291 0.223
H: 0.516 0.279 0.424
H: 0.984 0.576 0.721
H: 0.484 0.721 0.576
H: 0.180 0.709 0.777
H: 0.251 0.539 0.824
H: 0.751 0.824 0.539
H: 0.249 0.176 0.461
H: 0.320 0.223 0.291
H: 0.016 0.424 0.279
H: 0.680 0.777 0.709
Sn: 0.500 0.000 0.500
Sn: 0.000 0.500 0.000
Au: 0.250 0.274 0.726
Au: 0.000 0.000 0.000
Au: 0.750 0.726 0.274
Au: 0.500 0.000 0.000

---

(4)
Material: NaH12AuC4S4O12
Method: DFT, PBE
State: relaxed

Lattice parameters (Å, degrees): 5.223 8.466 9.385 73.30 76.31 79.25
Fractional coordinates of all 34 atoms:
S: 0.982 0.714 0.790
S: 0.018 0.286 0.210
S: 0.452 0.773 0.342
S: 0.548 0.227 0.658
O: 0.910 0.648 0.681
O: 0.348 0.359 0.605
O: 0.191 0.306 0.061
O: 0.628 0.123 0.538
O: 0.090 0.352 0.319
O: 0.781 0.275 0.685
O: 0.987 0.906 0.726
O: 0.652 0.641 0.395
O: 0.219 0.725 0.315
O: 0.372 0.877 0.462
O: 0.013 0.094 0.274
O: 0.809 0.694 0.939
H: 0.676 0.834 0.092
H: 0.562 0.343 0.299
H: 0.363 0.693 0.888
H: 0.438 0.657 0.701
H: 0.307 0.500 0.866
H: 0.545 0.989 0.861
H: 0.455 0.011 0.139
H: 0.637 0.307 0.112
H: 0.324 0.166 0.908
H: 0.770 0.949 0.201
H: 0.693 0.500 0.134
H: 0.230 0.051 0.799
C: 0.604 0.907 0.175
C: 0.396 0.093 0.825
C: 0.308 0.633 0.813
C: 0.692 0.367 0.187
Au: 0.000 0.000 0.500
Na: 0.000 0.500 0.500

---

(5)
Material: H6AuC3O2
Method: DFT, PBE
State: relaxed

Lattice parameters (Å, degrees): 7.507 10.817 12.240 90.00 106.02 90.00
Fractional coordinates of all 96 atoms:
H: 0.040 0.929 0.586
H: 0.609 0.230 0.854
H: 0.894 0.182 0.301
H: 0.207 0.315 0.231
H: 0.159 0.195 0.579
H: 0.894 0.318 0.801
H: 0.587 0.814 0.626
H: 0.383 0.896 0.636
H: 0.666 0.027 0.570
H: 0.609 0.270 0.354
H: 0.391 0.730 0.646
H: 0.587 0.686 0.126
H: 0.666 0.473 0.070
H: 0.139 0.627 0.921
H: 0.841 0.805 0.421
H: 0.841 0.695 0.921
H: 0.207 0.185 0.731
H: 0.334 0.973 0.430
H: 0.139 0.873 0.421
H: 0.617 0.396 0.864
H: 0.297 0.661 0.839
H: 0.647 0.895 0.339
H: 0.793 0.685 0.769
H: 0.960 0.429 0.914
H: 0.106 0.682 0.199
H: 0.647 0.605 0.839
H: 0.617 0.104 0.364
H: 0.861 0.127 0.579
H: 0.703 0.161 0.661
H: 0.125 0.183 0.394
H: 0.861 0.373 0.079
H: 0.125 0.317 0.894
H: 0.383 0.604 0.136
H: 0.703 0.339 0.161
H: 0.353 0.105 0.661
H: 0.391 0.770 0.146
H: 0.793 0.815 0.269
H: 0.353 0.395 0.161
H: 0.413 0.314 0.874
H: 0.875 0.817 0.606
H: 0.875 0.683 0.106
H: 0.106 0.818 0.699
H: 0.159 0.305 0.079
H: 0.960 0.071 0.414
H: 0.334 0.527 0.930
H: 0.040 0.571 0.086
H: 0.413 0.186 0.374
H: 0.297 0.839 0.339
C: 0.572 0.965 0.048
C: 0.528 0.184 0.335
C: 0.572 0.535 0.548
C: 0.428 0.035 0.952
C: 0.230 0.587 0.875
C: 0.770 0.413 0.125
C: 0.230 0.913 0.375
C: 0.941 0.441 0.495
C: 0.733 0.687 0.841
C: 0.428 0.465 0.452
C: 0.007 0.375 0.852
C: 0.941 0.059 0.995
C: 0.059 0.559 0.505
C: 0.267 0.313 0.159
C: 0.059 0.941 0.005
C: 0.007 0.125 0.352
C: 0.993 0.875 0.648
C: 0.993 0.625 0.148
C: 0.528 0.316 0.835
C: 0.472 0.816 0.665
C: 0.472 0.684 0.165
C: 0.733 0.813 0.341
C: 0.770 0.087 0.625
C: 0.267 0.187 0.659
O: 0.929 0.388 0.585
O: 0.660 0.876 0.019
O: 0.859 0.099 0.896
O: 0.071 0.612 0.415
O: 0.403 0.999 0.851
O: 0.859 0.401 0.396
O: 0.597 0.499 0.649
O: 0.660 0.624 0.519
O: 0.141 0.599 0.604
O: 0.340 0.376 0.481
O: 0.071 0.888 0.915
O: 0.597 0.001 0.149
O: 0.929 0.112 0.085
O: 0.403 0.501 0.351
O: 0.141 0.901 0.104
O: 0.340 0.124 0.981
Au: 0.080 0.012 0.238
Au: 0.920 0.512 0.262
Au: 0.430 0.162 0.164
Au: 0.430 0.338 0.664
Au: 0.920 0.988 0.762
Au: 0.080 0.488 0.738
Au: 0.570 0.662 0.336
Au: 0.570 0.838 0.836

---

(6)
Material: RbH12AuC4S4O12
Method: DFT, PBE
State: relaxed

Lattice parameters (Å, degrees): 9.342 9.342 8.745 90.00 90.00 90.00
Fractional coordinates of all 68 atoms:
Au: 0.000 0.000 0.000
Au: 0.500 0.500 0.500
C: 0.384 0.128 0.356
C: 0.616 0.872 0.356
C: 0.884 0.372 0.144
C: 0.372 0.116 0.856
C: 0.872 0.384 0.644
C: 0.628 0.884 0.856
C: 0.116 0.628 0.144
C: 0.128 0.616 0.644
H: 0.566 0.862 0.960
H: 0.068 0.652 0.744
H: 0.158 0.503 0.653
H: 0.342 0.003 0.847
H: 0.348 0.068 0.256
H: 0.497 0.158 0.347
H: 0.848 0.432 0.244
H: 0.842 0.497 0.653
H: 0.652 0.932 0.256
H: 0.003 0.658 0.153
H: 0.997 0.342 0.153
H: 0.934 0.362 0.540
H: 0.434 0.138 0.960
H: 0.568 0.848 0.756
H: 0.152 0.568 0.244
H: 0.503 0.842 0.347
H: 0.432 0.152 0.756
H: 0.362 0.066 0.460
H: 0.862 0.434 0.040
H: 0.658 0.997 0.847
H: 0.066 0.638 0.540
H: 0.638 0.934 0.460
H: 0.138 0.566 0.040
H: 0.932 0.348 0.744
O: 0.743 0.134 0.620
O: 0.134 0.257 0.380
O: 0.861 0.833 0.015
O: 0.174 0.877 0.266
O: 0.326 0.377 0.234
O: 0.167 0.861 0.985
O: 0.257 0.866 0.620
O: 0.623 0.326 0.766
O: 0.639 0.333 0.485
O: 0.667 0.639 0.515
O: 0.377 0.674 0.766
O: 0.333 0.361 0.515
O: 0.366 0.757 0.120
O: 0.866 0.743 0.380
O: 0.833 0.139 0.985
O: 0.139 0.167 0.015
O: 0.757 0.634 0.880
O: 0.243 0.366 0.880
O: 0.826 0.123 0.266
O: 0.674 0.623 0.234
O: 0.361 0.667 0.485
O: 0.634 0.243 0.120
O: 0.123 0.174 0.734
O: 0.877 0.826 0.734
Rb: 0.000 0.000 0.500
Rb: 0.500 0.500 0.000
S: 0.212 0.215 0.862
S: 0.715 0.712 0.362
S: 0.285 0.288 0.362
S: 0.788 0.785 0.862
S: 0.785 0.212 0.138
S: 0.712 0.285 0.638
S: 0.288 0.715 0.638
S: 0.215 0.788 0.138

---

no.,total DFT energy (no corrections) (eV per atom)
1,-6.515
2,-5.802
3,-6.145
4,-5.361
5,-5.380
6,-5.361